This record from Alexandria describes a relaxed structure of CsFeHg2Cl8. The functional is PBE.

Lattice parameters (Å, degrees): 6.4199 7.2676 8.4183 72.09 85.76 89.62
Sites, in units of the cell vectors:
1 Cs 0.0000 0.0000 0.0000
2 Fe 0.0000 0.5000 0.5000
3 Hg 0.4751 0.4300 0.2563
4 Hg 0.5249 0.5700 0.7437
5 Cl 0.1104 0.4971 0.7526
6 Cl 0.1796 0.2289 0.5106
7 Cl 0.2863 0.6814 0.3647
8 Cl 0.4974 0.2209 0.0760
9 Cl 0.5026 0.7791 0.9240
10 Cl 0.7137 0.3186 0.6353
11 Cl 0.8204 0.7711 0.4894
12 Cl 0.8896 0.5029 0.2474

Volume = 372.7 Å³ per cell
Space-group type = P-1 (2)
Formation energy from raw total energies = -9.98 eV/f.u.

***

This record from Alexandria describes a relaxed structure of CsFe2HgCl6. The functional is PBE.

Lattice parameters (Å, degrees): 10.9827 10.9827 6.0992 90.25 90.25 82.61
Sites, in units of the cell vectors:
1 Cs 0.1928 0.8072 0.7500
2 Cs 0.8072 0.1928 0.2500
3 Fe 0.1507 0.3057 0.6625
4 Fe 0.3057 0.1507 0.1625
5 Fe 0.6943 0.8493 0.8375
6 Fe 0.8493 0.6943 0.3375
7 Hg 0.4323 0.5677 0.2500
8 Hg 0.5677 0.4323 0.7500
9 Cl 0.0297 0.7495 0.2523
10 Cl 0.1516 0.3014 0.2769
11 Cl 0.2002 0.4843 0.7599
12 Cl 0.2505 0.9703 0.2477
13 Cl 0.3014 0.1516 0.7769
14 Cl 0.4843 0.2002 0.2599
15 Cl 0.5157 0.7998 0.7401
16 Cl 0.6986 0.8484 0.2231
17 Cl 0.7495 0.0297 0.7523
18 Cl 0.7998 0.5157 0.2401
19 Cl 0.8484 0.6986 0.7231
20 Cl 0.9703 0.2505 0.7477

Volume = 729.6 Å³ per cell
Space-group type = C2/c (15)
Formation energy from raw total energies = -9.50 eV/f.u.

***

This record from Alexandria describes a relaxed structure of Cs2FeHgCl6. The functional is PBE.

Lattice parameters (Å, degrees): 7.5040 7.5040 7.6573 120.57 120.57 61.37
Sites, in units of the cell vectors:
1 Cs 0.2498 0.2498 0.2495
2 Cs 0.7502 0.7502 0.7505
3 Fe 0.0000 0.0000 0.5000
4 Hg 0.5000 0.5000 0.0000
5 Cl 0.2157 0.7779 0.7159
6 Cl 0.2221 0.7843 0.2841
7 Cl 0.2608 0.2608 0.7691
8 Cl 0.7392 0.7392 0.2309
9 Cl 0.7779 0.2157 0.7159
10 Cl 0.7843 0.2221 0.2841

Volume = 305.2 Å³ per cell
Space-group type = C2/m (12)
Formation energy from raw total energies = -12.06 eV/f.u.

***

This record from Alexandria describes a relaxed structure of CsHoFeCl6. The functional is PBE.

Lattice parameters (Å, degrees): 6.7299 6.7299 7.8301 90.05 90.05 120.00
Sites, in units of the cell vectors:
1 Cs 0.0000 0.0000 0.0000
2 Ho 0.6664 0.3336 0.5000
3 Fe 0.3331 0.6669 0.5000
4 Cl 0.0153 0.6295 0.3118
5 Cl 0.0156 0.3845 0.6875
6 Cl 0.3705 0.9847 0.6882
7 Cl 0.3729 0.3878 0.3102
8 Cl 0.6122 0.6271 0.6898
9 Cl 0.6155 0.9844 0.3125

Volume = 307.1 Å³ per cell
Space-group type = C2 (5)
Formation energy from raw total energies = -15.42 eV/f.u.

***

This record from Alexandria describes a relaxed structure of CsInFe2Cl8. The functional is PBE.

Lattice parameters (Å, degrees): 10.5930 10.5930 10.5930 35.91 35.91 35.91
Sites, in units of the cell vectors:
1 Cs 0.0000 0.0000 0.0000
2 In 0.5000 0.5000 0.5000
3 Fe 0.2435 0.2435 0.2435
4 Fe 0.7565 0.7565 0.7565
5 Cl 0.1153 0.7745 0.4528
6 Cl 0.2255 0.5472 0.8847
7 Cl 0.3181 0.3181 0.3181
8 Cl 0.4528 0.1153 0.7745
9 Cl 0.5472 0.8847 0.2255
10 Cl 0.6819 0.6819 0.6819
11 Cl 0.7745 0.4528 0.1153
12 Cl 0.8847 0.2255 0.5472

Volume = 365.7 Å³ per cell
Space-group type = R-3 (148)
Formation energy from raw total energies = -12.61 eV/f.u.

***

This record from Alexandria describes a relaxed structure of CsInFeCl6. The functional is PBE.

Lattice parameters (Å, degrees): 6.6360 6.6360 7.7681 90.06 90.06 120.03
Sites, in units of the cell vectors:
1 Cs 0.0000 0.0000 0.0000
2 In 0.6666 0.3334 0.5000
3 Fe 0.3331 0.6669 0.5000
4 Cl 0.0095 0.3837 0.6851
5 Cl 0.0095 0.6245 0.3144
6 Cl 0.3755 0.9905 0.6856
7 Cl 0.3781 0.3873 0.3130
8 Cl 0.6127 0.6219 0.6870
9 Cl 0.6163 0.9905 0.3149

Volume = 296.2 Å³ per cell
Space-group type = C2 (5)
Formation energy from raw total energies = -10.78 eV/f.u.

***

This record from Alexandria describes a relaxed structure of Cs2KFeCl6. The functional is PBE.

Lattice parameters (Å, degrees): 7.4232 7.4232 7.5944 90.00 90.00 120.00
Sites, in units of the cell vectors:
1 Cs 0.3333 0.6667 0.1588
2 Cs 0.6667 0.3333 0.8412
3 K 0.0000 0.0000 0.5000
4 Fe 0.0000 0.0000 0.0000
5 Cl 0.1467 0.2933 0.8232
6 Cl 0.1467 0.8533 0.8232
7 Cl 0.2933 0.1467 0.1768
8 Cl 0.7067 0.8533 0.8232
9 Cl 0.8533 0.1467 0.1768
10 Cl 0.8533 0.7067 0.1768

Volume = 362.4 Å³ per cell
Space-group type = P-3m1 (164)
Formation energy from raw total energies = -14.31 eV/f.u.

***

This record from Alexandria describes a relaxed structure of CsKFe2Cl6. The functional is PBE.

Lattice parameters (Å, degrees): 9.7209 9.7209 7.3312 98.94 98.94 88.79
Sites, in units of the cell vectors:
1 Cs 0.1828 0.8172 0.7500
2 Cs 0.8172 0.1828 0.2500
3 K 0.3986 0.6014 0.2500
4 K 0.6014 0.3986 0.7500
5 Fe 0.1311 0.2991 0.7703
6 Fe 0.2991 0.1311 0.2703
7 Fe 0.7009 0.8689 0.7297
8 Fe 0.8689 0.7009 0.2297
9 Cl 0.0856 0.6194 0.3086
10 Cl 0.1289 0.1741 0.0202
11 Cl 0.1741 0.1289 0.5202
12 Cl 0.2958 0.4683 0.8343
13 Cl 0.3806 0.9144 0.1914
14 Cl 0.4683 0.2958 0.3343
15 Cl 0.5317 0.7042 0.6657
16 Cl 0.6194 0.0856 0.8086
17 Cl 0.7042 0.5317 0.1657
18 Cl 0.8259 0.8711 0.4798
19 Cl 0.8711 0.8259 0.9798
20 Cl 0.9144 0.3806 0.6914

Volume = 676.0 Å³ per cell
Space-group type = C2/c (15)
Formation energy from raw total energies = -12.30 eV/f.u.

***

This record from Alexandria describes a relaxed structure of CsK2FeCl5. The functional is PBE.

Lattice parameters (Å, degrees): 9.5328 9.5328 9.5328 124.68 124.68 82.06
Sites, in units of the cell vectors:
1 Cs 0.2500 0.2500 0.0000
2 Cs 0.7500 0.7500 0.0000
3 K 0.1686 0.6686 0.8372
4 K 0.3314 0.1686 0.5000
5 K 0.6686 0.8314 0.5000
6 K 0.8314 0.3314 0.1628
7 Fe 0.2500 0.7500 0.5000
8 Fe 0.7500 0.2500 0.5000
9 Cl 0.0000 0.0000 0.0000
10 Cl 0.0070 0.7874 0.5000
11 Cl 0.2126 0.7126 0.2196
12 Cl 0.2874 0.5070 0.5000
13 Cl 0.4930 0.9930 0.7804
14 Cl 0.5000 0.5000 0.0000
15 Cl 0.5070 0.0070 0.2196
16 Cl 0.7126 0.4930 0.5000
17 Cl 0.7874 0.2874 0.7804
18 Cl 0.9930 0.2126 0.5000

Volume = 563.2 Å³ per cell
Space-group type = I4/mcm (140)
Formation energy from raw total energies = -14.12 eV/f.u.

***

This record from Alexandria describes a relaxed structure of CsKFeCl4. The functional is PBE.

Lattice parameters (Å, degrees): 7.2673 7.3503 9.4328 90.00 108.46 90.00
Sites, in units of the cell vectors:
1 Cs 0.2179 0.2500 0.4283
2 Cs 0.7821 0.7500 0.5717
3 K 0.2810 0.2500 0.9520
4 K 0.7190 0.7500 0.0480
5 Fe 0.2799 0.7500 0.1877
6 Fe 0.7201 0.2500 0.8123
7 Cl 0.0912 0.7500 0.3433
8 Cl 0.0953 0.7500 0.9415
9 Cl 0.4897 0.5059 0.2367
10 Cl 0.4897 0.9941 0.2367
11 Cl 0.5103 0.0059 0.7633
12 Cl 0.5103 0.4941 0.7633
13 Cl 0.9047 0.2500 0.0585
14 Cl 0.9088 0.2500 0.6567

Volume = 477.9 Å³ per cell
Space-group type = P2_1/m (11)
Formation energy from raw total energies = -10.28 eV/f.u.